<a>
Compound: TbThTe2
Source: Alexandria via LeMat-Bulk
Functional: PBE
Structure: optimized geometry

Lattice parameters (Å, degrees): 4.182 4.182 8.435 75.65 75.65 60.00
Sites, in units of the cell vectors:
Tb 0.668 0.668 0.996
Th 0.499 0.499 0.504
Te 0.080 0.080 0.761
Te 0.254 0.254 0.239

Calculated values
- V: 122 Å³/f.u.
- Fermi-level density of states: 3.17 states/eV/f.u.

***

<b>
Compound: TbThTe2
Source: Alexandria via LeMat-Bulk
Functional: PBE
Structure: optimized geometry

Lattice parameters (Å, degrees): 4.132 4.132 10.454 78.60 78.60 60.00
Sites, in units of the cell vectors:
Te 0.099 0.099 0.704
Te 0.901 0.901 0.296
Tb 0.000 0.000 0.000
Th 0.500 0.500 0.500

Calculated values
- V: 151 Å³/f.u.
- Fermi-level density of states: 3.33 states/eV/f.u.

***

<c>
Compound: TbThTe2
Source: Alexandria via LeMat-Bulk
Functional: PBE
Structure: optimized geometry

Lattice parameters (Å, degrees): 6.269 6.269 7.653 114.18 114.18 90.00
Sites, in units of the cell vectors:
Tb 0.500 0.500 0.000
Tb 0.250 0.750 0.500
Th 0.750 0.250 0.500
Th 0.000 0.000 0.000
Te 0.746 0.746 0.491
Te 0.496 0.996 0.991
Te 0.254 0.254 0.509
Te 0.004 0.504 0.009

Calculated values
- V: 123 Å³/f.u.
- Fermi-level density of states: 4.01 states/eV/f.u.

***

<d>
Compound: TbThTe2
Source: Alexandria via LeMat-Bulk
Functional: PBE
Structure: optimized geometry

Lattice parameters (Å, degrees): 3.838 5.381 5.381 90.00 90.00 90.00
Sites, in units of the cell vectors:
Te 0.000 0.000 0.500
Te 0.000 0.500 0.000
Tb 0.500 0.000 0.000
Th 0.500 0.500 0.500

Calculated values
- V: 111 Å³/f.u.
- Fermi-level density of states: 3.12 states/eV/f.u.

***

Stability verdict: <a>, ahead by 0.019 eV/atom